DFT (PBE) results for a geometry-optimized PmNd4Dy3 structure.

Calculated values
Calculated formation energy in eV per atom: 0.016
Energy above the lowest structure with this stoichiometry in meV per atom: 0

```
data_PmNd4Dy3
_chemical_formula_sum 'Pm2 Nd8 Dy6'
_space_group_name_H-M_alt 'P 1'
_space_group_IT_number 1
_cell_length_a 7.246
_cell_length_b 7.243
_cell_length_c 10.263
_cell_angle_alpha 90.00
_cell_angle_beta 90.00
_cell_angle_gamma 90.00
loop_
_space_group_symop_operation_xyz
'x,y,z'
loop_
_atom_site_label
_atom_site_type_symbol
_atom_site_fract_x
_atom_site_fract_y
_atom_site_fract_z
_atom_site_occupancy
Pm1 Pm 0.500 0.811 0.000 1
Dy1 Dy 0.248 0.061 0.750 1
Dy2 Dy 0.752 0.561 0.750 1
Dy3 Dy 0.000 0.811 0.500 1
Dy4 Dy 0.248 0.061 0.250 1
Nd1 Nd 0.500 0.310 0.000 1
Nd2 Nd 0.000 0.311 0.500 1
Dy5 Dy 0.752 0.561 0.250 1
Nd3 Nd 0.500 0.810 0.500 1
Dy6 Dy 0.000 0.311 0.000 1
Nd4 Nd 0.751 0.061 0.750 1
Nd5 Nd 0.249 0.561 0.750 1
Nd6 Nd 0.000 0.811 0.000 1
Nd7 Nd 0.249 0.561 0.250 1
Pm2 Pm 0.500 0.311 0.500 1
Nd8 Nd 0.751 0.061 0.250 1
```